1.
The following is a PBE-GGA calculation of a relaxed structure of RbNpAuSe3, from OQMD.

The space group is Cmcm (No. 63) and the conventional cell measures 4.239, 15.402 and 10.741 Å, with angles of 90.00, 90.00 and 90.00 degrees. The asymmetric unit holds Rb at (0.000, 0.250, 0.250), Np at (0.000, 0.000, 0.000), Au at (0.000, 0.458, 0.750), Se at (0.000, 0.065, 0.750) and Se at (0.000, 0.377, 0.540).

The value obtained for the total magnetization is 3.0 μB per formula unit.



2.
The following is a PBE-GGA calculation of a relaxed structure of TbGdSn2Pt4, from OQMD.

The space group is P-6m2 (No. 187) and the conventional cell measures 4.5779, 4.5779 and 9.1044 Å, with angles of 90.00, 90.00 and 120.00 degrees. The asymmetric unit holds Tb at (0.0000, 0.0000, 0.0000), Gd at (0.6667, 0.3333, 0.5000), Sn at (0.3333, 0.6667, 0.2494), Pt at (0.0000, 0.0000, 0.3386) and Pt at (0.6667, 0.3333, 0.1600).

The value obtained for the total magnetization is 0.0 μB per formula unit.



3.
The following is a PBE-GGA calculation of a relaxed structure of DyBeGa, from OQMD.

The space group is F-43m (No. 216) and the conventional cell measures 6.259, 6.259 and 6.259 Å, with angles of 90.00, 90.00 and 90.00 degrees. The asymmetric unit holds Dy at (0.000, 0.000, 0.000), Be at (0.000, 0.000, 0.500) and Ga at (0.250, 0.250, 0.750).

As for the energy above the most stable polymorph in this dataset: 0.213 eV/atom. The value obtained for the total magnetization is 0.0 μB per formula unit.



4.
The following is a PBE-GGA calculation of a relaxed structure of LiYOsW, from OQMD.

The space group is F-43m (No. 216) and the conventional cell measures 6.504, 6.504 and 6.504 Å, with angles of 90.00, 90.00 and 90.00 degrees. The asymmetric unit holds Li at (0.000, 0.000, 0.000), Y at (0.250, 0.250, 0.750), Os at (0.000, 0.000, 0.500) and W at (0.250, 0.250, 0.250).

As for the energy above the most stable polymorph in this dataset: 0.000 eV/atom. The value obtained for the total magnetization is 0.0 μB per formula unit.



5.
The following is a PBE-GGA calculation of a relaxed structure of Ho3Ag4Sn2Ge2, from OQMD.

The space group is Immm (No. 71) and the conventional cell measures 4.472, 7.148 and 15.070 Å, with angles of 90.00, 90.00 and 90.00 degrees. The asymmetric unit holds Ho at (0.000, 0.000, 0.000), Ho at (0.000, 0.500, 0.121), Ag at (0.000, 0.301, 0.339), Sn at (0.000, 0.000, 0.218) and Ge at (0.000, 0.182, 0.500).

The value obtained for the total magnetization is 0.0 μB per formula unit.



6.
The following is a PBE-GGA calculation of a relaxed structure of HoThOs, from OQMD.

The space group is F-43m (No. 216) and the conventional cell measures 6.878, 6.878 and 6.878 Å, with angles of 90.00, 90.00 and 90.00 degrees. The asymmetric unit holds Ho at (0.000, 0.000, 0.000), Th at (0.000, 0.000, 0.500) and Os at (0.250, 0.250, 0.250).

As for the energy above the most stable polymorph in this dataset: 0.000 eV/atom. The energy of formation from the pure elements is -22.8 kJ/mol of atoms. The value obtained for the total magnetization is 0.0 μB per formula unit.



7.
The following is a PBE-GGA calculation of a relaxed structure of Rb2OsO5, from OQMD.

The space group is P4/mmm (No. 123) and the conventional cell measures 6.201, 6.201 and 3.842 Å, with angles of 90.00, 90.00 and 90.00 degrees. The asymmetric unit holds Rb at (0.000, 0.500, 0.000), Os at (0.000, 0.000, 0.500), O at (0.000, 0.000, 0.000) and O at (0.210, 0.210, 0.500).

The value obtained for the total magnetization is 0.0 μB per formula unit.



8.
The following is a PBE-GGA calculation of a relaxed structure of NdDySi2, from OQMD.

The space group is Pmc2_1 (No. 26) and the conventional cell measures 3.891, 5.815 and 8.086 Å, with angles of 90.00, 90.00 and 90.00 degrees. The asymmetric unit holds Nd at (0.000, 0.136, 0.000), Dy at (0.500, 0.364, 0.359), Si at (0.000, 0.379, 0.642) and Si at (0.500, 0.129, 0.715).

As for the energy above the most stable polymorph in this dataset: 0.006 eV/atom. The value obtained for the total magnetization is 0.0 μB per formula unit.



9.
The following is a PBE-GGA calculation of a relaxed structure of LiFeAsPb, from OQMD.

The space group is F-43m (No. 216) and the conventional cell measures 6.596, 6.596 and 6.596 Å, with angles of 90.00, 90.00 and 90.00 degrees. The asymmetric unit holds Li at (0.000, 0.000, 0.000), Fe at (0.000, 0.000, 0.500), As at (0.250, 0.250, 0.750) and Pb at (0.250, 0.250, 0.250).

As for the energy above the most stable polymorph in this dataset: 0.000 eV/atom. The value obtained for the total magnetization is 2.4 μB per formula unit.



10.
The following is a PBE-GGA calculation of a relaxed structure of ZnTeNO, from OQMD.

The space group is P4/nmm (No. 129, origin choice 2) and the conventional cell measures 4.537, 4.537 and 5.333 Å, with angles of 90.00, 90.00 and 90.00 degrees. The asymmetric unit holds Zn at (0.250, 0.250, 0.048), Te at (0.250, 0.750, 0.500), N at (0.250, 0.250, 0.449) and O at (0.250, 0.750, 0.000).

As for the energy above the most stable polymorph in this dataset: 0.396 eV/atom.



11.
The following is a PBE-GGA calculation of a relaxed structure of RbInTc, from OQMD.

The space group is F-43m (No. 216) and the conventional cell measures 7.667, 7.667 and 7.667 Å, with angles of 90.00, 90.00 and 90.00 degrees. The asymmetric unit holds Rb at (0.000, 0.000, 0.000), In at (0.250, 0.250, 0.750) and Tc at (0.250, 0.250, 0.250).

As for the energy above the most stable polymorph in this dataset: 0.538 eV/atom. The value obtained for the total magnetization is 3.3 μB per formula unit.



12.
The following is a PBE-GGA calculation of a relaxed structure of AlTcH6Os, from OQMD.

The space group is F-43m (No. 216) and the conventional cell measures 6.337, 6.337 and 6.337 Å, with angles of 90.00, 90.00 and 90.00 degrees. The asymmetric unit holds Al at (0.000, 0.000, 0.000), Tc at (0.250, 0.250, 0.750), H at (0.027, 0.250, 0.250) and Os at (0.000, 0.000, 0.500).

The value obtained for the total magnetization is 0.4 μB per formula unit.



DFT total energy readings, ordered: -5.57, -6.19, -3.87, -7.93, -4.34, -7.97, -5.98, -5.84, -4.51, -4.19, -2.83, -4.65 eV/atom